The following is a DFT calculation (GGA-PBE) of a relaxed NbIBrO2 crystal.

Output
SG: P4/mmm, No. 123
DFT total energy: -5.66 eV per atom
DOS(E_F): 0.44 states/eV per atom
raw formation energy: -1017 meV/atom

Cell and atoms, written as POSCAR:
```
NbIBrO2
1.0
-2.809 0.623 -2.882
2.068 -2.421 -2.539
-3.081 -4.712 1.984
I O Br Nb
1 2 1 1
direct
0.000 0.000 0.500 I
0.000 0.500 0.000 O
0.500 0.000 0.000 O
0.500 0.500 0.500 Br
0.000 0.000 0.000 Nb
```

The following is a DFT calculation (GGA-PBE) of a relaxed Gd2MnZn crystal.

Output
energy relative to the elements: 0.011 eV/atom
SG: Fm-3m, No. 225
DFT total energy: -9.64 eV per atom
DOS(E_F): 1.22 states/eV per atom

Cell and atoms, written as POSCAR:
```
Gd2MnZn
1.0
-0.813 -0.911 4.936
0.665 -4.684 1.864
3.923 -0.976 3.085
Zn Gd Mn
1 2 1
direct
0.000 0.000 0.000 Zn
0.750 0.750 0.750 Gd
0.250 0.250 0.250 Gd
0.500 0.500 0.500 Mn
```

The following is a DFT calculation (GGA-PBE) of a relaxed ZrBeTlI2 crystal.

Output
SG: P4/mmm, No. 123
DFT total energy: -3.30 eV per atom
DOS(E_F): 0.88 states/eV per atom
raw formation energy: 243 meV/atom

Cell and atoms, written as POSCAR:
```
ZrBeTlI2
1.0
5.737 0.000 0.000
0.000 5.092 0.000
0.000 0.000 5.737
Zr I Be Tl
1 2 1 1
direct
0.000 0.000 0.000 Zr
0.500 0.000 0.000 I
0.000 0.000 0.500 I
0.000 0.500 0.000 Be
0.500 0.500 0.500 Tl
```

What did the second record say?
The following is a DFT calculation (GGA-PBE) of a relaxed Gd2MnZn crystal.

Output
energy relative to the elements: 0.011 eV/atom
SG: Fm-3m, No. 225
DFT total energy: -9.64 eV per atom
DOS(E_F): 1.22 states/eV per atom

Cell and atoms, written as POSCAR:
```
Gd2MnZn
1.0
-0.813 -0.911 4.936
0.665 -4.684 1.864
3.923 -0.976 3.085
Zn Gd Mn
1 2 1
direct
0.000 0.000 0.000 Zn
0.750 0.750 0.750 Gd
0.250 0.250 0.250 Gd
0.500 0.500 0.500 Mn
```

Q: What is the formula in the first record?
A: NbIBrO2

Q: DFT total energy of number 1 (NbIBrO2)?
A: -5.66 eV per atom